1.
LaTb7Pr2: optimized geometry, PBE.

Lattice parameters (Å, degrees): 6.246 6.259 9.557 102.57 108.94 99.59
Fractional coordinates of all 10 atoms:
La1 0.000 0.000 0.000
Tb1 0.000 0.500 0.500
Tb2 0.198 0.999 0.401
Tb3 0.203 0.500 0.899
Tb4 0.397 0.999 0.798
Tb5 0.603 0.001 0.202
Tb6 0.797 0.500 0.101
Tb7 0.802 0.001 0.599
Pr1 0.400 0.501 0.300
Pr2 0.600 0.499 0.700

Output
D(E_F) = 14.46 states/eV per cell
Size of the total moment = 0.00 μB/atom

2.
LaTb7Pr2: optimized geometry, PBE.

Lattice parameters (Å, degrees): 9.498 9.498 5.463 90.00 90.00 125.68
Fractional coordinates of all 10 atoms:
La1 0.000 0.000 0.000
Tb1 0.067 0.290 0.500
Tb2 0.211 0.789 0.000
Tb3 0.290 0.067 0.500
Tb4 0.500 0.500 0.500
Tb5 0.710 0.933 0.500
Tb6 0.789 0.211 0.000
Tb7 0.933 0.710 0.500
Pr1 0.297 0.703 0.500
Pr2 0.703 0.297 0.500

Output
D(E_F) = 15.16 states/eV per cell
Size of the total moment = 0.00 μB/atom

Verdict on stability: 2 comes out at the bottom.

1.
La3TbPr7: optimized geometry, PBE.

Lattice parameters (Å, degrees): 7.936 7.936 6.596 93.47 93.47 82.08
Fractional coordinates of all 11 atoms:
La1 0.000 0.000 0.000
La2 0.174 0.826 0.500
La3 0.826 0.174 0.500
Tb1 0.500 0.500 0.000
Pr1 0.085 0.430 0.238
Pr2 0.238 0.238 0.714
Pr3 0.430 0.085 0.238
Pr4 0.500 0.500 0.500
Pr5 0.570 0.915 0.762
Pr6 0.762 0.762 0.286
Pr7 0.915 0.570 0.762

Output
D(E_F) = 16.61 states/eV per cell
Size of the total moment = 0.00 μB/atom

2.
La3TbPr7: optimized geometry, PBE.

Lattice parameters (Å, degrees): 8.739 8.739 8.739 139.43 97.47 96.34
Fractional coordinates of all 11 atoms:
La1 0.000 0.000 0.000
La2 0.212 0.500 0.712
La3 0.788 0.500 0.288
Tb1 0.500 0.000 0.500
Pr1 0.007 0.802 0.205
Pr2 0.209 0.709 0.500
Pr3 0.403 0.198 0.205
Pr4 0.500 0.500 0.000
Pr5 0.597 0.802 0.795
Pr6 0.791 0.291 0.500
Pr7 0.993 0.198 0.795

Output
D(E_F) = 16.95 states/eV per cell
Size of the total moment = 0.00 μB/atom

Verdict on stability: 2 comes out at the bottom.

1.
LaTb3Pr5: optimized geometry, PBE.

Lattice parameters (Å, degrees): 9.747 9.747 9.990 120.43 120.43 74.70
Fractional coordinates of all 18 atoms:
La1 0.249 0.249 0.419
La2 0.751 0.751 0.581
Tb1 0.000 0.000 0.000
Tb2 0.013 0.013 0.351
Tb3 0.496 0.496 0.178
Tb4 0.500 0.500 0.500
Tb5 0.504 0.504 0.822
Tb6 0.987 0.987 0.649
Pr1 0.111 0.610 0.263
Pr2 0.228 0.228 0.056
Pr3 0.254 0.746 0.000
Pr4 0.271 0.271 0.771
Pr5 0.390 0.889 0.737
Pr6 0.610 0.111 0.263
Pr7 0.729 0.729 0.229
Pr8 0.746 0.254 0.000
Pr9 0.772 0.772 0.944
Pr10 0.889 0.390 0.737

Output
D(E_F) = 28.96 states/eV per cell
Size of the total moment = 0.00 μB/atom

2.
LaTb3Pr5: optimized geometry, PBE.

Lattice parameters (Å, degrees): 10.015 10.015 11.439 112.38 112.38 38.47
Fractional coordinates of all 18 atoms:
La1 0.140 0.860 0.750
La2 0.860 0.140 0.250
Tb1 0.000 0.000 0.000
Tb2 0.000 0.000 0.500
Tb3 0.138 0.539 0.486
Tb4 0.461 0.862 0.014
Tb5 0.539 0.138 0.986
Tb6 0.862 0.461 0.514
Pr1 0.006 0.656 0.135
Pr2 0.136 0.528 0.791
Pr3 0.344 0.994 0.365
Pr4 0.400 0.600 0.250
Pr5 0.472 0.864 0.709
Pr6 0.528 0.136 0.291
Pr7 0.600 0.400 0.750
Pr8 0.656 0.006 0.635
Pr9 0.864 0.472 0.209
Pr10 0.994 0.344 0.865

Output
D(E_F) = 27.52 states/eV per cell
Size of the total moment = 0.00 μB/atom

Verdict on stability: 1 comes out at the bottom.

1.
La3Tb2Pr7: optimized geometry, PBE.

Lattice parameters (Å, degrees): 6.050 3.675 19.559 90.00 93.04 90.00
Fractional coordinates of all 12 atoms:
La1 0.000 0.000 0.000
La2 0.275 0.500 0.634
La3 0.725 0.500 0.366
Tb1 0.217 0.000 0.295
Tb2 0.783 0.000 0.705
Pr1 0.189 0.500 0.146
Pr2 0.245 0.000 0.463
Pr3 0.308 0.000 0.820
Pr4 0.500 0.500 0.000
Pr5 0.692 0.000 0.180
Pr6 0.755 0.000 0.537
Pr7 0.811 0.500 0.854

Output
D(E_F) = 17.48 states/eV per cell
Size of the total moment = 0.00 μB/atom

2.
La3Tb2Pr7: optimized geometry, PBE.

Lattice parameters (Å, degrees): 6.606 3.630 18.131 90.00 96.22 90.00
Fractional coordinates of all 12 atoms:
La1 0.000 0.000 0.000
La2 0.043 0.500 0.661
La3 0.957 0.500 0.339
Tb1 0.450 0.000 0.330
Tb2 0.550 0.000 0.670
Pr1 0.232 0.500 0.169
Pr2 0.246 0.000 0.502
Pr3 0.274 0.000 0.831
Pr4 0.500 0.500 0.000
Pr5 0.726 0.000 0.169
Pr6 0.754 0.000 0.498
Pr7 0.768 0.500 0.831

Output
D(E_F) = 19.52 states/eV per cell
Size of the total moment = 0.00 μB/atom

Verdict on stability: 1 comes out at the bottom.

1.
La12Tb2Pr5: optimized geometry, PBE.

Lattice parameters (Å, degrees): 10.489 10.489 10.333 113.15 113.15 42.42
Fractional coordinates of all 19 atoms:
La1 0.009 0.009 0.332
La2 0.091 0.591 0.150
La3 0.095 0.568 0.497
La4 0.409 0.909 0.850
La5 0.432 0.905 0.503
La6 0.490 0.490 0.781
La7 0.510 0.510 0.219
La8 0.568 0.095 0.497
La9 0.591 0.091 0.150
La10 0.905 0.432 0.503
La11 0.909 0.409 0.850
La12 0.991 0.991 0.668
Tb1 0.203 0.797 0.000
Tb2 0.797 0.203 0.000
Pr1 0.176 0.176 0.198
Pr2 0.325 0.325 0.835
Pr3 0.500 0.500 0.500
Pr4 0.675 0.675 0.165
Pr5 0.824 0.824 0.802

Output
D(E_F) = 32.39 states/eV per cell
Size of the total moment = 0.00 μB/atom

2.
La12Tb2Pr5: optimized geometry, PBE.

Lattice parameters (Å, degrees): 6.384 10.987 10.998 66.32 79.46 79.40
Fractional coordinates of all 19 atoms:
La1 0.000 0.117 0.117
La2 0.000 0.883 0.883
La3 0.200 0.548 0.061
La4 0.201 0.060 0.548
La5 0.270 0.447 0.447
La6 0.378 0.848 0.359
La7 0.379 0.358 0.849
La8 0.621 0.642 0.151
La9 0.622 0.152 0.641
La10 0.730 0.553 0.553
La11 0.799 0.940 0.452
La12 0.800 0.452 0.939
Tb1 0.002 0.232 0.767
Tb2 0.998 0.768 0.233
Pr1 0.147 0.679 0.679
Pr2 0.441 0.213 0.214
Pr3 0.500 0.000 0.000
Pr4 0.559 0.787 0.786
Pr5 0.853 0.321 0.321

Output
D(E_F) = 30.35 states/eV per cell
Size of the total moment = 0.00 μB/atom

Verdict on stability: 1 comes out at the bottom.

1.
LaTb7Pr3: optimized geometry, PBE.

Lattice parameters (Å, degrees): 7.148 7.148 8.815 90.00 90.00 120.00
Fractional coordinates of all 11 atoms:
La1 0.000 0.000 0.000
Tb1 0.002 0.501 0.998
Tb2 0.333 0.166 0.324
Tb3 0.333 0.667 0.319
Tb4 0.499 0.501 0.998
Tb5 0.499 0.998 0.998
Tb6 0.834 0.166 0.324
Tb7 0.834 0.667 0.324
Pr1 0.167 0.334 0.658
Pr2 0.167 0.833 0.658
Pr3 0.666 0.833 0.658

Output
D(E_F) = 17.59 states/eV per cell
Size of the total moment = 0.00 μB/atom

2.
LaTb7Pr3: optimized geometry, PBE.

Lattice parameters (Å, degrees): 5.614 7.060 10.145 70.04 89.99 89.95
Fractional coordinates of all 11 atoms:
La1 0.000 0.000 0.000
Tb1 0.000 0.000 0.500
Tb2 0.000 0.417 0.670
Tb3 0.000 0.583 0.330
Tb4 0.500 0.143 0.212
Tb5 0.500 0.322 0.861
Tb6 0.500 0.678 0.139
Tb7 0.500 0.857 0.788
Pr1 0.000 0.500 0.000
Pr2 0.499 0.282 0.501
Pr3 0.501 0.718 0.499

Output
D(E_F) = 16.06 states/eV per cell
Size of the total moment = 0.00 μB/atom

Verdict on stability: 1 comes out at the bottom.